The following is a DFT calculation (GGA-PBE) of a relaxed structure of SrInTe2I.

Properties
For the total energy, the calculation gives -15.114 eV for the cell shown. The calculation puts the energy above the lowest structure with this stoichiometry at 0 meV/atom. The value obtained for the total magnetization is 0.000 μB/cell. The calculation puts the energy relative to the elements, uncorrected at -2.86 eV per formula unit. For the density, the calculation gives 4.97 g cm⁻³. As for the space group: No. 123.

Lattice parameters (Å, degrees): 5.726 5.726 5.956 90.00 90.00 90.00
Sites, in units of the cell vectors:
Sr 0.000 0.000 0.000
In 0.500 0.500 0.500
Te 0.000 0.500 0.500
Te 0.500 0.000 0.500
I 0.500 0.500 0.000